Crystalline TcB3S at its relaxed geometry. Source: Alexandria, functional PBE.

Lattice parameters (Å, degrees): 3.7615 3.7615 3.7615 90.00 90.00 90.00
Last column: nearest neighbours and their distance in Å.
Element x y z (fractional)
B 0.0000 0.5000 0.0000  2 S 1.88
B 0.5000 0.0000 0.0000  2 S 1.88
B 0.0000 0.0000 0.5000  2 S 1.88
Tc 0.5000 0.5000 0.5000  12 B 2.66
S 0.0000 0.0000 0.0000  6 B 1.88

Summary:
As for the total energy: -25.6 eV per cell. The space-group type is Pm-3m. For the density of states at the Fermi level, the calculation gives 4.5 states/eV/f.u. The value obtained for the size of the total moment is 0.00 μB per formula unit.